<a>
Density functional theory data (PBE-GGA) for a relaxed BiAs4 crystal.

Computed properties:
Space group: P2_1/c, No. 14

abc: 5.841 6.020 8.226
angles: 107.01 90.00 90.00
Fractional coordinates of all 10 atoms:
As (0.840, 0.734, 0.242)
As (0.160, 0.266, 0.758)
As (0.340, 0.266, 0.258)
As (0.634, 0.378, 0.075)
As (0.366, 0.622, 0.925)
As (0.866, 0.378, 0.575)
As (0.660, 0.734, 0.742)
As (0.134, 0.622, 0.425)
Bi (0.500, 0.000, 0.500)
Bi (0.000, 0.000, 0.000)

---

<b>
Density functional theory data (PBE-GGA) for a relaxed BiAs4 crystal.

Computed properties:
Space group: Pm-3m, No. 221

abc: 5.386 5.386 5.386
angles: 90.00 90.00 90.00
Fractional coordinates of all 5 atoms:
As (0.500, 0.500, 0.000)
As (0.500, 0.000, 0.500)
As (0.000, 0.500, 0.500)
As (0.000, 0.000, 0.000)
Bi (0.500, 0.500, 0.500)

---

<a> is preferred energetically. Next in line: 1253 meV per atom higher.